IrRuNO2 | PBE-GGA | optimized geometry

a b c (Å): 3.859 3.859 3.890
angles (deg): 90.00 90.00 90.00
Space group P4/mmm (No. 123)
Unique sites:
Ir (0.000, 0.000, 0.000) x1
Ru (0.500, 0.500, 0.500) x1
N (0.500, 0.500, 0.000) x1
O (0.000, 0.500, 0.500) x2

Results
* energy relative to the elements, uncorrected: 85 kJ/mol of atoms


IrS2NO | PBE-GGA | optimized geometry

a b c (Å): 4.031 4.031 3.734
angles (deg): 90.00 90.00 90.00
Space group P4/mmm (No. 123)
Unique sites:
Ir (0.000, 0.000, 0.000) x1
S (0.000, 0.500, 0.500) x2
N (0.500, 0.500, 0.000) x1
O (0.500, 0.500, 0.500) x1

Results
* energy relative to the elements, uncorrected: 164 kJ/mol of atoms
* energy above the most stable polymorph in this dataset: 2.54 eV/f.u.


IrSNO2 | PBE-GGA | optimized geometry

a b c (Å): 3.189 3.189 7.447
angles (deg): 90.00 90.00 90.00
Space group P4/mmm (No. 123)
Unique sites:
Ir (0.000, 0.000, 0.000) x1
S (0.500, 0.500, 0.500) x1
N (0.500, 0.500, 0.000) x1
O (0.000, 0.500, 0.500) x2

Results
* energy relative to the elements, uncorrected: 104 kJ/mol of atoms


IrSNO2 | PBE-GGA | optimized geometry

a b c (Å): 3.891 3.891 3.863
angles (deg): 90.00 90.00 90.00
Space group P4/mmm (No. 123)
Unique sites:
Ir (0.000, 0.000, 0.000) x1
S (0.500, 0.500, 0.500) x1
N (0.000, 0.000, 0.500) x1
O (0.000, 0.500, 0.000) x2

Results
* energy relative to the elements, uncorrected: 70 kJ/mol of atoms


IrS2NO | PBE-GGA | optimized geometry

a b c (Å): 4.758 4.758 3.644
angles (deg): 90.00 90.00 90.00
Space group P4/mmm (No. 123)
Unique sites:
Ir (0.000, 0.000, 0.000) x1
S (0.000, 0.500, 0.000) x2
N (0.000, 0.000, 0.500) x1
O (0.500, 0.500, 0.500) x1

Results
* energy relative to the elements, uncorrected: 115 kJ/mol of atoms
* energy above the most stable polymorph in this dataset: 0.00 eV/f.u.


SbIrNO2 | PBE-GGA | optimized geometry

a b c (Å): 3.904 3.904 4.192
angles (deg): 90.00 90.00 90.00
Space group P4/mmm (No. 123)
Unique sites:
Sb (0.000, 0.000, 0.000) x1
Ir (0.500, 0.500, 0.500) x1
N (0.000, 0.000, 0.500) x1
O (0.000, 0.500, 0.000) x2

Results
* energy relative to the elements, uncorrected: 75 kJ/mol of atoms